## LiCeAg2I8 (PBE-GGA)

Data for crystalline LiCeAg2I8 at its relaxed geometry.

Cell lengths 8.6226, 8.6226, 8.6226 Å; angles 109.40, 109.40, 109.61 degrees
Last column: nearest neighbours and their distance in Å.
Fractional coordinates of all 12 atoms:
Li (0.0000, 0.0000, 0.0000)  4 I 3.14
Ce (0.2500, 0.7500, 0.5000)  8 I 3.05-3.39
Ag (0.5000, 0.5000, 0.0000)  4 I 2.78
Ag (0.7500, 0.2500, 0.5000)  4 I 2.83
I (0.3030, 0.1046, 0.8016)  1 Ag 2.78, 1 Ce 3.05
I (0.3030, 0.5014, 0.1984)  1 Ag 2.78, 1 Ce 3.05
I (0.3484, 0.0352, 0.3132)  1 Ag 2.83, 1 Li 3.14
I (0.4986, 0.6970, 0.8016)  1 Ag 2.78, 1 Ce 3.05
I (0.7220, 0.0352, 0.6868)  1 Ag 2.83, 1 Li 3.14
I (0.8954, 0.6970, 0.1984)  1 Ag 2.78, 1 Ce 3.05
I (0.9648, 0.2780, 0.3132)  1 Ag 2.83, 1 Li 3.14
I (0.9648, 0.6516, 0.6868)  1 Ag 2.83, 1 Li 3.14

Output
Symmetry: I-4m2, No. 119
Uncorrected formation energy (eV/atom): -0.63

***

## ReTe4P (PBE-GGA)

Data for crystalline ReTe4P at its relaxed geometry.

Cell lengths 6.1966, 6.1966, 6.1966 Å; angles 60.00, 60.00, 60.00 degrees
Last column: nearest neighbours and their distance in Å.
Fractional coordinates of all 6 atoms:
Re (0.0000, 0.0000, 0.0000)  12 Te 3.63, 4 P 3.79
Te (0.1230, 0.6257, 0.6257)  6 Te 3.08-3.11
Te (0.6257, 0.1230, 0.6257)  6 Te 3.08-3.11
Te (0.6257, 0.6257, 0.1230)  6 Te 3.08-3.11
Te (0.6257, 0.6257, 0.6257)  6 Te 3.08-3.11
P (0.2500, 0.2500, 0.2500)  12 Te 3.63, 4 Re 3.79

Output
Symmetry: F-43m, No. 216
Uncorrected formation energy (eV/atom): 1.60

***

## LiTl14Pb (PBE-GGA)

Data for crystalline LiTl14Pb at its relaxed geometry.

Cell lengths 11.3468, 6.9744, 6.9744 Å; angles 59.83, 90.00, 90.00 degrees
Last column: nearest neighbours and their distance in Å.
Fractional coordinates of all 16 atoms:
Li (0.0000, 0.0000, 0.0000)  10 Tl 3.37-3.51, 2 Pb 3.48
Tl (0.0000, 0.5037, 0.9991)  8 Tl 3.40-3.51, 2 Pb 3.44-3.53, 2 Li 3.46-3.51
Tl (0.0000, 0.9991, 0.5037)  8 Tl 3.40-3.51, 2 Pb 3.44-3.53, 2 Li 3.46-3.51
Tl (0.2404, 0.1642, 0.1642)  1 Li 3.37, 11 Tl 3.41-3.57
Tl (0.2431, 0.1665, 0.6652)  10 Tl 3.40-3.54, 1 Li 3.42, 1 Pb 3.43
Tl (0.2431, 0.6652, 0.1665)  10 Tl 3.40-3.54, 1 Li 3.42, 1 Pb 3.43
Tl (0.2516, 0.6666, 0.6666)  1 Pb 3.46, 11 Tl 3.47-3.49
Tl (0.5000, 0.3276, 0.8353)  12 Tl 3.42-3.55
Tl (0.5000, 0.3306, 0.3306)  12 Tl 3.47-3.57
Tl (0.5000, 0.8343, 0.8343)  12 Tl 3.44-3.54
Tl (0.5000, 0.8353, 0.3276)  12 Tl 3.42-3.55
Tl (0.7484, 0.6666, 0.6666)  1 Pb 3.46, 11 Tl 3.47-3.49
Tl (0.7569, 0.1665, 0.6652)  10 Tl 3.40-3.54, 1 Li 3.42, 1 Pb 3.43
Tl (0.7569, 0.6652, 0.1665)  10 Tl 3.40-3.54, 1 Li 3.42, 1 Pb 3.43
Tl (0.7596, 0.1642, 0.1642)  1 Li 3.37, 11 Tl 3.41-3.57
Pb (0.0000, 0.5051, 0.5051)  10 Tl 3.43-3.53, 2 Li 3.48

Output
Symmetry: Amm2, No. 38
ΔE_f (meV per atom): -4

***

## BPd (PBE-GGA)

Data for crystalline BPd at its relaxed geometry.

Cell lengths 5.8600, 5.8600, 5.8600 Å; angles 90.00, 90.00, 90.00 degrees
Last column: nearest neighbours and their distance in Å.
Fractional coordinates of all 12 atoms:
B (0.0000, 0.2500, 0.5000)  4 Pd 2.07
B (0.0000, 0.7500, 0.5000)  4 Pd 2.07
B (0.2500, 0.5000, 0.0000)  4 Pd 2.07
B (0.5000, 0.0000, 0.2500)  4 Pd 2.07
B (0.5000, 0.0000, 0.7500)  4 Pd 2.07
B (0.7500, 0.5000, 0.0000)  4 Pd 2.07
Pd (0.0000, 0.5000, 0.2500)  4 B 2.07
Pd (0.0000, 0.5000, 0.7500)  4 B 2.07
Pd (0.2500, 0.0000, 0.5000)  4 B 2.07
Pd (0.5000, 0.2500, 0.0000)  4 B 2.07
Pd (0.5000, 0.7500, 0.0000)  4 B 2.07
Pd (0.7500, 0.0000, 0.5000)  4 B 2.07

Output
Symmetry: Pm-3n, No. 223
ΔE_f (meV per atom): 478

***

## CaTe2Pd2 (PBE-GGA)

Data for crystalline CaTe2Pd2 at its relaxed geometry.

Cell lengths 7.2740, 7.2740, 7.2740 Å; angles 145.94, 145.94, 48.93 degrees
Last column: nearest neighbours and their distance in Å.
Fractional coordinates of all 5 atoms:
Ca (0.0000, 0.0000, 0.0000)  8 Te 3.42
Te (0.3777, 0.3777, 0.0000)  4 Pd 2.72
Te (0.6223, 0.6223, 0.0000)  4 Pd 2.72
Pd (0.2500, 0.7500, 0.5000)  4 Te 2.72, 4 Pd 3.01
Pd (0.7500, 0.2500, 0.5000)  4 Te 2.72, 4 Pd 3.01

Output
Symmetry: I4/mmm, No. 139
Uncorrected formation energy (eV/atom): -0.66
Relative energy among the computed polymorphs (meV per atom): 0

***

## NaYMgIn (PBE-GGA)

Data for crystalline NaYMgIn at its relaxed geometry.

Cell lengths 5.2229, 5.2229, 5.2229 Å; angles 60.00, 60.00, 60.00 degrees
Last column: nearest neighbours and their distance in Å.
Fractional coordinates of all 4 atoms:
Na (0.0000, 0.0000, 0.0000)  4 Mg 3.20, 4 Y 3.20
Y (0.2500, 0.2500, 0.2500)  4 In 3.20, 4 Na 3.20
Mg (0.7500, 0.7500, 0.7500)  4 Na 3.20, 4 In 3.20
In (0.5000, 0.5000, 0.5000)  4 Mg 3.20, 4 Y 3.20

Output
Symmetry: F-43m, No. 216
ΔE_f (meV per atom): -125